Record 1
Computed, not measured: crystalline LiCo2Tc at its relaxed geometry at the PBE level of DFT.

Summary:
Its formation energy is 0.75 eV/f.u. The density of states at the Fermi level is 7.06 states/eV per cell. The raw total energy comes out at -6.4349 eV per atom. The polymorph energy (0 for the lowest one) is 10 meV/atom.

Unit cell a=5.7341 b=5.7341 c=5.7341 alpha=90.00 beta=90.00 gamma=90.00
Element x y z (fractional)
Li (0.0000, 0.0000, 0.0000)
Li (0.0000, 0.5000, 0.5000)
Li (0.5000, 0.0000, 0.5000)
Li (0.5000, 0.5000, 0.0000)
Co (0.2500, 0.2500, 0.2500)
Co (0.2500, 0.2500, 0.7500)
Co (0.2500, 0.7500, 0.2500)
Co (0.2500, 0.7500, 0.7500)
Co (0.7500, 0.2500, 0.2500)
Co (0.7500, 0.2500, 0.7500)
Co (0.7500, 0.7500, 0.2500)
Co (0.7500, 0.7500, 0.7500)
Tc (0.0000, 0.0000, 0.5000)
Tc (0.0000, 0.5000, 0.0000)
Tc (0.5000, 0.0000, 0.0000)
Tc (0.5000, 0.5000, 0.5000)


Record 2
Computed, not measured: crystalline LiCoTc at its relaxed geometry at the PBE level of DFT.

Summary:
Its formation energy is 1.50 eV/f.u. The density of states at the Fermi level is 12.96 states/eV per cell. The raw total energy comes out at -5.9631 eV per atom. The polymorph energy (0 for the lowest one) is 292 meV/atom.

Unit cell a=5.4678 b=5.4678 c=5.4678 alpha=90.00 beta=90.00 gamma=90.00
Element x y z (fractional)
Li (0.0000, 0.0000, 0.0000)
Li (0.0000, 0.5000, 0.5000)
Li (0.5000, 0.0000, 0.5000)
Li (0.5000, 0.5000, 0.0000)
Co (0.2500, 0.2500, 0.7500)
Co (0.2500, 0.7500, 0.2500)
Co (0.7500, 0.2500, 0.2500)
Co (0.7500, 0.7500, 0.7500)
Tc (0.0000, 0.0000, 0.5000)
Tc (0.0000, 0.5000, 0.0000)
Tc (0.5000, 0.0000, 0.0000)
Tc (0.5000, 0.5000, 0.5000)


Record 3
Computed, not measured: crystalline Li2CoTc at its relaxed geometry at the PBE level of DFT.

Summary:
Its formation energy is 1.02 eV/f.u. The density of states at the Fermi level is 3.30 states/eV per cell. The raw total energy comes out at -5.0691 eV per atom. The polymorph energy (0 for the lowest one) is 86 meV/atom.

Unit cell a=2.4600 b=2.4600 c=8.7071 alpha=90.00 beta=90.00 gamma=90.00
Element x y z (fractional)
Li (0.0000, 0.0000, 0.2389)
Li (0.0000, 0.0000, 0.7611)
Co (0.5000, 0.5000, 0.0000)
Tc (0.5000, 0.5000, 0.5000)


Record 4
Computed, not measured: crystalline LiCo3Tc at its relaxed geometry at the PBE level of DFT.

Summary:
Its formation energy is 6.01 eV/f.u. The density of states at the Fermi level is 4.95 states/eV per cell. The raw total energy comes out at -5.5167 eV per atom. The polymorph energy (0 for the lowest one) is 264 meV/atom.

Unit cell a=4.4442 b=4.4442 c=4.4442 alpha=90.00 beta=90.00 gamma=90.00
Element x y z (fractional)
Li (0.0000, 0.0000, 0.0000)
Co (0.0000, 0.5000, 0.5000)
Co (0.5000, 0.0000, 0.5000)
Co (0.5000, 0.5000, 0.0000)
Tc (0.5000, 0.5000, 0.5000)


Record 5
Computed, not measured: crystalline Li2CoTc at its relaxed geometry at the PBE level of DFT.

Summary:
Its formation energy is 0.88 eV/f.u. The density of states at the Fermi level is 8.38 states/eV per cell. The raw total energy comes out at -5.1045 eV per atom. The polymorph energy (0 for the lowest one) is 50 meV/atom.

Unit cell a=2.6006 b=4.2477 c=9.2015 alpha=90.00 beta=90.00 gamma=90.00
Element x y z (fractional)
Li (0.0000, 0.0000, 0.2344)
Li (0.0000, 0.0000, 0.7656)
Li (0.5000, 0.5000, 0.2656)
Li (0.5000, 0.5000, 0.7344)
Co (0.0000, 0.5000, 0.5000)
Co (0.5000, 0.0000, 0.0000)
Tc (0.0000, 0.5000, 0.0000)
Tc (0.5000, 0.0000, 0.5000)


Record 6
Computed, not measured: crystalline LiCoTc at its relaxed geometry at the PBE level of DFT.

Summary:
Its formation energy is 0.62 eV/f.u. The density of states at the Fermi level is 0.86 states/eV per cell. The raw total energy comes out at -6.2554 eV per atom. The polymorph energy (0 for the lowest one) is 0 meV/atom.

Unit cell a=4.0424 b=4.0424 c=2.5193 alpha=90.00 beta=90.00 gamma=120.00
Element x y z (fractional)
Li (0.0000, 0.0000, 0.0000)
Co (0.6667, 0.3333, 0.7363)
Tc (0.3333, 0.6667, 0.3915)


Record 7
Computed, not measured: crystalline LiCo2Tc at its relaxed geometry at the PBE level of DFT.

Summary:
Its formation energy is 0.92 eV/f.u. The density of states at the Fermi level is 10.90 states/eV per cell. The raw total energy comes out at -6.3927 eV per atom. The polymorph energy (0 for the lowest one) is 52 meV/atom.

Unit cell a=2.5556 b=4.2256 c=9.1435 alpha=90.00 beta=90.00 gamma=90.00
Element x y z (fractional)
Li (0.0000, 0.0000, 0.0000)
Li (0.5000, 0.5000, 0.5000)
Co (0.0000, 0.0000, 0.5143)
Co (0.0000, 0.5000, 0.2306)
Co (0.5000, 0.0000, 0.7306)
Co (0.5000, 0.5000, 0.0143)
Tc (0.0000, 0.5000, 0.7893)
Tc (0.5000, 0.0000, 0.2893)


Record 8
Computed, not measured: crystalline Li2CoTc at its relaxed geometry at the PBE level of DFT.

Summary:
Its formation energy is 1.13 eV/f.u. The density of states at the Fermi level is 12.75 states/eV per cell. The raw total energy comes out at -5.0430 eV per atom. The polymorph energy (0 for the lowest one) is 112 meV/atom.

Unit cell a=2.5937 b=2.5937 c=27.3887 alpha=90.00 beta=90.00 gamma=120.00
Element x y z (fractional)
Li (0.0000, 0.0000, 0.2470)
Li (0.0000, 0.0000, 0.7530)
Li (0.3333, 0.6667, 0.4197)
Li (0.3333, 0.6667, 0.9136)
Li (0.6667, 0.3333, 0.0864)
Li (0.6667, 0.3333, 0.5803)
Co (0.0000, 0.0000, 0.5000)
Co (0.3333, 0.6667, 0.1667)
Co (0.6667, 0.3333, 0.8333)
Tc (0.0000, 0.0000, 0.0000)
Tc (0.3333, 0.6667, 0.6667)
Tc (0.6667, 0.3333, 0.3333)


Record 9
Computed, not measured: crystalline LiCo2Tc2 at its relaxed geometry at the PBE level of DFT.

Summary:
Its formation energy is 0.93 eV/f.u. The density of states at the Fermi level is 12.74 states/eV per cell. The raw total energy comes out at -7.1865 eV per atom.

Unit cell a=7.1872 b=7.1872 c=2.5742 alpha=90.00 beta=90.00 gamma=90.00
Element x y z (fractional)
Li (0.0000, 0.0000, 0.0000)
Li (0.5000, 0.5000, 0.0000)
Co (0.1202, 0.3798, 0.0000)
Co (0.3798, 0.8798, 0.0000)
Co (0.6202, 0.1202, 0.0000)
Co (0.8798, 0.6202, 0.0000)
Tc (0.1728, 0.6728, 0.5000)
Tc (0.3272, 0.1728, 0.5000)
Tc (0.6728, 0.8272, 0.5000)
Tc (0.8272, 0.3272, 0.5000)


Record 10
Computed, not measured: crystalline Li2CoTc at its relaxed geometry at the PBE level of DFT.

Summary:
Its formation energy is 3.01 eV/f.u. The density of states at the Fermi level is 18.26 states/eV per cell. The raw total energy comes out at -4.5715 eV per atom. The polymorph energy (0 for the lowest one) is 583 meV/atom.

Unit cell a=6.6412 b=6.6412 c=4.6635 alpha=90.00 beta=90.00 gamma=90.00
Element x y z (fractional)
Li (0.2306, 0.7500, 0.1250)
Li (0.2500, 0.2306, 0.8750)
Li (0.2500, 0.2694, 0.3750)
Li (0.2694, 0.7500, 0.6250)
Li (0.7306, 0.2500, 0.6250)
Li (0.7500, 0.7306, 0.3750)
Li (0.7500, 0.7694, 0.8750)
Li (0.7694, 0.2500, 0.1250)
Co (0.0000, 0.0000, 0.0000)
Co (0.0000, 0.5000, 0.2500)
Co (0.5000, 0.0000, 0.7500)
Co (0.5000, 0.5000, 0.5000)
Tc (0.0000, 0.0000, 0.5000)
Tc (0.0000, 0.5000, 0.7500)
Tc (0.5000, 0.0000, 0.2500)
Tc (0.5000, 0.5000, 0.0000)


Record 11
Computed, not measured: crystalline LiCo2Tc at its relaxed geometry at the PBE level of DFT.

Summary:
Its formation energy is 1.02 eV/f.u. The density of states at the Fermi level is 8.86 states/eV per cell. The raw total energy comes out at -6.3670 eV per atom. The polymorph energy (0 for the lowest one) is 78 meV/atom.

Unit cell a=2.8619 b=4.1738 c=8.5679 alpha=90.00 beta=90.00 gamma=90.00
Element x y z (fractional)
Li (0.0000, 0.0000, 0.0000)
Li (0.5000, 0.5000, 0.0000)
Co (0.0000, 0.5000, 0.2530)
Co (0.0000, 0.5000, 0.7470)
Co (0.5000, 0.0000, 0.2530)
Co (0.5000, 0.0000, 0.7470)
Tc (0.0000, 0.0000, 0.5000)
Tc (0.5000, 0.5000, 0.5000)


Record 12
Computed, not measured: crystalline LiCo2Tc at its relaxed geometry at the PBE level of DFT.

Summary:
Its formation energy is 0.84 eV/f.u. The density of states at the Fermi level is 5.07 states/eV per cell. The raw total energy comes out at -6.4118 eV per atom. The polymorph energy (0 for the lowest one) is 33 meV/atom.

Unit cell a=2.5910 b=3.5211 c=5.1410 alpha=90.00 beta=90.00 gamma=90.00
Element x y z (fractional)
Li (0.0000, 0.0000, 0.0000)
Co (0.5000, 0.5000, 0.2492)
Co (0.5000, 0.5000, 0.7508)
Tc (0.0000, 0.0000, 0.5000)


Record 13
Computed, not measured: crystalline Li2CoTc at its relaxed geometry at the PBE level of DFT.

Summary:
Its formation energy is 0.86 eV/f.u. The density of states at the Fermi level is 7.43 states/eV per cell. The raw total energy comes out at -5.1098 eV per atom. The polymorph energy (0 for the lowest one) is 45 meV/atom.

Unit cell a=2.9703 b=4.1806 c=9.0871 alpha=90.00 beta=90.00 gamma=90.00
Element x y z (fractional)
Li (0.0000, 0.0000, 0.0000)
Li (0.0000, 0.5000, 0.2918)
Li (0.5000, 0.0000, 0.2918)
Li (0.5000, 0.5000, 0.0000)
Co (0.0000, 0.0000, 0.5225)
Co (0.5000, 0.5000, 0.5225)
Tc (0.0000, 0.5000, 0.7493)
Tc (0.5000, 0.0000, 0.7493)


Record 14
Computed, not measured: crystalline LiCoTc3 at its relaxed geometry at the PBE level of DFT.

Summary:
Its formation energy is 6.37 eV/f.u. The density of states at the Fermi level is 6.48 states/eV per cell. The raw total energy comes out at -6.7502 eV per atom. The polymorph energy (0 for the lowest one) is 0 meV/atom.

Unit cell a=4.0476 b=4.0476 c=4.0476 alpha=90.00 beta=90.00 gamma=90.00
Element x y z (fractional)
Li (0.0000, 0.0000, 0.0000)
Co (0.5000, 0.5000, 0.5000)
Tc (0.0000, 0.0000, 0.5000)
Tc (0.0000, 0.5000, 0.0000)
Tc (0.5000, 0.0000, 0.0000)


Record 15
Computed, not measured: crystalline LiCo2Tc at its relaxed geometry at the PBE level of DFT.

Summary:
Its formation energy is 0.76 eV/f.u. The density of states at the Fermi level is 3.07 states/eV per cell. The raw total energy comes out at -6.4339 eV per atom. The polymorph energy (0 for the lowest one) is 11 meV/atom.

Unit cell a=2.5338 b=2.5338 c=7.8351 alpha=90.00 beta=90.00 gamma=90.00
Element x y z (fractional)
Li (0.0000, 0.0000, 0.0000)
Co (0.0000, 0.0000, 0.5356)
Co (0.5000, 0.5000, 0.7416)
Tc (0.5000, 0.5000, 0.2864)